No. 1
An optimized crystal structure of SnPCl2, computed with GGA-PBE.

The structure in POSCAR format:
```
SnPCl2
1.0
0.0000 3.6184 3.6184
3.6184 0.0000 3.6184
3.6184 3.6184 0.0000
Sn P Cl
1 1 2
direct
0.0000 0.0000 0.0000
0.5000 0.5000 0.5000
0.2500 0.2500 0.2500
0.7500 0.7500 0.7500
```

## Properties
* space group: Fm-3m (225)
* ΔE_f (raw): 0.264 eV per atom
* offset from the most stable computed form: 302.6 meV per atom
* density: 3.87 g cm⁻³
* VASP energy: -12.05 eV for the cell shown
* V: 94.7 Å³ per cell

=====

No. 2
An optimized crystal structure of HfNO2F, computed with GGA-PBE.

The structure in POSCAR format:
```
HfNO2F
1.0
4.1008 0.0000 0.0000
0.0000 4.1008 0.0000
0.0000 0.0000 4.1749
Hf N O F
1 1 2 1
direct
0.0000 0.0000 0.0000
0.5000 0.5000 0.5000
0.0000 0.5000 0.0000
0.5000 0.0000 0.0000
0.0000 0.0000 0.5000
```

## Properties
* space group: P4/mmm (123)
* ΔE_f (raw): -1.218 eV per atom
* density: 5.76 g cm⁻³
* VASP energy: -36.15 eV for the cell shown
* V: 70.2 Å³ per cell

=====

> Which value of density does entry 1 give?

3.87 g cm⁻³

=====

> The highest density belongs to which entry?

HfNO2F

=====

> Which value of V does entry 2 give?

70.2 Å³ per cell